[1]
The following is a DFT calculation (PBE-GGA) of an optimized crystal structure of LiMo2.

Structure (POSCAR):
```
LiMo2
1.0
0.000 2.828 2.828
2.828 0.000 2.828
2.828 2.828 0.000
Li Mo
1 2
direct
0.000 0.000 0.000
0.250 0.250 0.250
0.750 0.750 0.750
```

Summary:
The calculation puts the total energy at -6.627 eV/atom. The calculation puts the formation enthalpy at 0 K at 3.69 eV per formula unit. As for the polymorph energy (0 for the lowest one): 21.50 kcal/mol of atoms. As for the space group: Fm-3m (225).


[2]
The following is a DFT calculation (PBE-GGA) of an optimized crystal structure of LiMo2.

Structure (POSCAR):
```
LiMo2
1.0
-1.269 2.226 4.020
1.269 -2.226 4.020
1.269 2.226 -4.020
Li Mo
1 2
direct
0.000 0.000 0.000
0.334 0.334 0.000
0.666 0.666 0.000
```

Summary:
The calculation puts the total energy at -7.520 eV/atom. The calculation puts the formation enthalpy at 0 K at 1.02 eV per formula unit. As for the polymorph energy (0 for the lowest one): 0.91 kcal/mol of atoms. As for the space group: Immm (71).


[3]
The following is a DFT calculation (PBE-GGA) of an optimized crystal structure of LiMo.

Structure (POSCAR):
```
LiMo
1.0
0.000 2.395 2.395
2.395 0.000 2.395
2.395 2.395 0.000
Li Mo
1 1
direct
0.000 0.000 0.000
0.500 0.500 0.500
```

Summary:
The calculation puts the total energy at -4.941 eV/atom. The calculation puts the formation enthalpy at 0 K at 2.86 eV per formula unit. As for the polymorph energy (0 for the lowest one): 28.36 kcal/mol of atoms. As for the space group: Fm-3m (225).


[4]
The following is a DFT calculation (PBE-GGA) of an optimized crystal structure of LiMo2.

Structure (POSCAR):
```
LiMo2
1.0
4.497 0.000 0.000
-2.248 3.894 0.000
0.000 0.000 2.573
Li Mo
1 2
direct
0.000 0.000 0.000
0.333 0.667 0.659
0.667 0.333 0.341
```

Summary:
The calculation puts the total energy at -7.560 eV/atom. The calculation puts the formation enthalpy at 0 K at 0.90 eV per formula unit. As for the polymorph energy (0 for the lowest one): 0.00 kcal/mol of atoms. As for the space group: P-3m1 (164).


[5]
The following is a DFT calculation (PBE-GGA) of an optimized crystal structure of Li5Mo.

Structure (POSCAR):
```
Li5Mo
1.0
2.641 0.000 0.000
0.000 2.641 0.000
0.000 0.000 14.521
Li Mo
5 1
direct
0.000 0.000 0.000
0.000 0.000 0.343
0.000 0.000 0.657
0.500 0.500 0.170
0.500 0.500 0.830
0.500 0.500 0.500
```

Summary:
The calculation puts the total energy at -3.202 eV/atom. The calculation puts the formation enthalpy at 0 K at 1.19 eV per formula unit. As for the polymorph energy (0 for the lowest one): 0.00 kcal/mol of atoms. As for the space group: P4/mmm (123).


[6]
The following is a DFT calculation (PBE-GGA) of an optimized crystal structure of LiMo.

Structure (POSCAR):
```
LiMo
1.0
2.992 0.000 0.000
0.000 2.992 0.000
0.000 0.000 2.992
Li Mo
1 1
direct
0.000 0.000 0.000
0.500 0.500 0.500
```

Summary:
The calculation puts the total energy at -5.501 eV/atom. The calculation puts the formation enthalpy at 0 K at 1.74 eV per formula unit. As for the polymorph energy (0 for the lowest one): 15.44 kcal/mol of atoms. As for the space group: Pm-3m (221).


[7]
The following is a DFT calculation (PBE-GGA) of an optimized crystal structure of LiMo2.

Structure (POSCAR):
```
LiMo2
1.0
0.000 3.721 3.721
3.721 0.000 3.721
3.721 3.721 0.000
Li Mo
2 4
direct
0.125 0.125 0.125
0.875 0.875 0.875
0.000 0.500 0.500
0.500 0.000 0.500
0.500 0.500 0.000
0.500 0.500 0.500
```

Summary:
The calculation puts the total energy at -7.237 eV/atom. The calculation puts the formation enthalpy at 0 K at 1.86 eV per formula unit. As for the polymorph energy (0 for the lowest one): 7.43 kcal/mol of atoms. As for the space group: Fd-3m (227).


[8]
The following is a DFT calculation (PBE-GGA) of an optimized crystal structure of LiMo2.

Structure (POSCAR):
```
LiMo2
1.0
5.583 0.000 0.000
0.000 5.583 0.000
0.000 0.000 5.583
Li Mo
4 8
direct
0.000 0.000 0.000
0.000 0.500 0.500
0.500 0.000 0.500
0.500 0.500 0.000
0.131 0.631 0.869
0.131 0.869 0.369
0.369 0.131 0.869
0.369 0.369 0.369
0.631 0.631 0.631
0.631 0.869 0.131
0.869 0.131 0.631
0.869 0.369 0.131
```

Summary:
The calculation puts the total energy at -6.653 eV/atom. The calculation puts the formation enthalpy at 0 K at 3.62 eV per formula unit. As for the polymorph energy (0 for the lowest one): 20.89 kcal/mol of atoms. As for the space group: Pa-3 (205).


[9]
The following is a DFT calculation (PBE-GGA) of an optimized crystal structure of Li2Mo.

Structure (POSCAR):
```
Li2Mo
1.0
1.254 -8.278 0.000
1.254 8.278 0.000
0.000 0.000 4.631
Li Mo
4 2
direct
0.119 0.881 0.750
0.202 0.798 0.250
0.798 0.202 0.750
0.881 0.119 0.250
0.462 0.538 0.750
0.538 0.462 0.250
```

Summary:
The calculation puts the total energy at -4.557 eV/atom. The calculation puts the formation enthalpy at 0 K at 0.99 eV per formula unit. As for the polymorph energy (0 for the lowest one): 0.31 kcal/mol of atoms. As for the space group: Cmcm (63).


[10]
The following is a DFT calculation (PBE-GGA) of an optimized crystal structure of Li3Mo4.

Structure (POSCAR):
```
Li3Mo4
1.0
4.751 0.000 0.000
-2.376 4.115 0.000
0.000 0.000 5.057
Li Mo
3 4
direct
0.000 0.500 0.000
0.500 0.000 0.000
0.500 0.500 0.000
0.000 0.000 0.266
0.000 0.000 0.734
0.333 0.667 0.500
0.667 0.333 0.500
```

Summary:
The calculation puts the total energy at -6.513 eV/atom. The calculation puts the formation enthalpy at 0 K at 3.48 eV per formula unit. As for the space group: P6/mmm (191).


[11]
The following is a DFT calculation (PBE-GGA) of an optimized crystal structure of LiMo.

Structure (POSCAR):
```
LiMo
1.0
1.343 0.775 5.035
-1.343 0.775 5.035
0.000 -1.551 5.035
Li Mo
1 1
direct
0.000 0.000 0.000
0.500 0.500 0.500
```

Summary:
The calculation puts the total energy at -5.932 eV/atom. The calculation puts the formation enthalpy at 0 K at 0.88 eV per formula unit. As for the polymorph energy (0 for the lowest one): 5.50 kcal/mol of atoms. As for the space group: R-3m (166).


[12]
The following is a DFT calculation (PBE-GGA) of an optimized crystal structure of LiMo.

Structure (POSCAR):
```
LiMo
1.0
5.647 -1.266 0.000
5.647 1.266 0.000
-1.252 0.000 6.626
Li Mo
3 3
direct
0.000 0.000 0.000
0.063 0.063 0.651
0.415 0.415 0.315
0.317 0.317 0.677
0.686 0.686 0.336
0.737 0.737 0.993
```

Summary:
The calculation puts the total energy at -5.968 eV/atom. The calculation puts the formation enthalpy at 0 K at 0.81 eV per formula unit. As for the polymorph energy (0 for the lowest one): 4.68 kcal/mol of atoms. As for the space group: Cm (8).


[13]
The following is a DFT calculation (PBE-GGA) of an optimized crystal structure of LiMo2.

Structure (POSCAR):
```
LiMo2
1.0
-1.656 1.656 4.008
1.656 -1.656 4.008
1.656 1.656 -4.008
Li Mo
1 2
direct
0.000 0.000 0.000
0.331 0.331 0.000
0.669 0.669 0.000
```

Summary:
The calculation puts the total energy at -7.446 eV/atom. The calculation puts the formation enthalpy at 0 K at 1.24 eV per formula unit. As for the polymorph energy (0 for the lowest one): 2.63 kcal/mol of atoms. As for the space group: I4/mmm (139).


[14]
The following is a DFT calculation (PBE-GGA) of an optimized crystal structure of Li2Mo.

Structure (POSCAR):
```
Li2Mo
1.0
-1.283 1.283 7.289
1.283 -1.283 7.289
1.283 1.283 -7.289
Li Mo
2 1
direct
0.160 0.160 0.000
0.840 0.840 0.000
0.500 0.500 0.000
```

Summary:
The calculation puts the total energy at -4.570 eV/atom. The calculation puts the formation enthalpy at 0 K at 0.95 eV per formula unit. As for the polymorph energy (0 for the lowest one): 0.00 kcal/mol of atoms. As for the space group: I4/mmm (139).